Compound: YTaW2O8
Source: Alexandria
Functional: PBE+U
Structure: relaxed

## Properties
energy relative to the lowest polymorph listed for this composition = 0 meV per atom

```
data_YTaW2O8
_chemical_formula_sum 'Y2 Ta2 W4 O16'
_space_group_name_H-M_alt 'P 1 2/c 1'
_space_group_IT_number 13
_space_group_name_Hall '-P 2yc'
_cell_length_a 5.487
_cell_length_b 5.850
_cell_length_c 10.931
_cell_angle_alpha 90.00
_cell_angle_beta 118.38
_cell_angle_gamma 90.00
loop_
_atom_site_label
_atom_site_fract_x
_atom_site_fract_y
_atom_site_fract_z
_atom_site_occupancy
Y1 0.000 0.161 0.250 1
Ta1 0.500 0.162 0.750 1
W1 0.255 0.350 0.000 1
O1 0.206 0.388 0.619 1
O2 0.248 0.096 0.132 1
O3 0.299 0.142 0.860 1
O4 0.314 0.387 0.396 1
```